# 1
# BaRe2Ir | Alexandria via LeMat-Bulk | PBE-GGA | relaxed
data_BaRe2Ir
_space_group_name_H-M_alt 'P 1'
_space_group_IT_number 1
_space_group_name_Hall 'P 1'
_cell_length_a 5.114
_cell_length_b 3.947
_cell_length_c 3.947
_cell_angle_alpha 90.00
_cell_angle_beta 90.00
_cell_angle_gamma 90.00
loop_
_atom_site_label
_atom_site_type_symbol
_atom_site_fract_x
_atom_site_fract_y
_atom_site_fract_z
Re1 Re 0.000 0.000 0.000
Re2 Re 0.000 0.500 0.500
Ir1 Ir 0.500 0.000 0.500
Ba1 Ba 0.500 0.500 0.000
# * relative energy among the computed polymorphs: 946 meV/atom
# * D(E_F): 1.83 states/eV/atom

# 2
# BaReIr | Alexandria via LeMat-Bulk | PBE-GGA | relaxed
data_BaReIr
_space_group_name_H-M_alt 'P 1'
_space_group_IT_number 1
_space_group_name_Hall 'P 1'
_cell_length_a 4.612
_cell_length_b 4.612
_cell_length_c 7.368
_cell_angle_alpha 90.00
_cell_angle_beta 90.00
_cell_angle_gamma 90.00
loop_
_atom_site_label
_atom_site_type_symbol
_atom_site_fract_x
_atom_site_fract_y
_atom_site_fract_z
Ir1 Ir 0.500 0.000 0.637
Ir2 Ir 0.000 0.500 0.363
Ba1 Ba 0.000 0.500 0.851
Ba2 Ba 0.500 0.000 0.149
Re1 Re 0.000 0.000 0.500
Re2 Re 0.500 0.500 0.500
# * relative energy among the computed polymorphs: 20 meV/atom
# * D(E_F): 0.77 states/eV/atom

# 3
# BaReIr2 | Alexandria via LeMat-Bulk | PBE-GGA | relaxed
data_BaReIr2
_space_group_name_H-M_alt 'P 1'
_space_group_IT_number 1
_space_group_name_Hall 'P 1'
_cell_length_a 4.987
_cell_length_b 4.987
_cell_length_c 4.987
_cell_angle_alpha 127.89
_cell_angle_beta 127.89
_cell_angle_gamma 76.80
loop_
_atom_site_label
_atom_site_type_symbol
_atom_site_fract_x
_atom_site_fract_y
_atom_site_fract_z
Ir1 Ir 0.250 0.750 0.500
Ir2 Ir 0.000 0.000 0.000
Re1 Re 0.500 0.500 0.000
Ba1 Ba 0.750 0.250 0.500
# * relative energy among the computed polymorphs: 1158 meV/atom
# * D(E_F): 1.21 states/eV/atom

# 4
# BaRe2Ir | Alexandria via LeMat-Bulk | PBE-GGA | relaxed
data_BaRe2Ir
_space_group_name_H-M_alt 'P 1'
_space_group_IT_number 1
_space_group_name_Hall 'P 1'
_cell_length_a 4.061
_cell_length_b 3.007
_cell_length_c 7.400
_cell_angle_alpha 79.11
_cell_angle_beta 90.00
_cell_angle_gamma 90.00
loop_
_atom_site_label
_atom_site_type_symbol
_atom_site_fract_x
_atom_site_fract_y
_atom_site_fract_z
Re1 Re 0.000 0.802 0.035
Re2 Re 0.500 0.255 0.129
Ba1 Ba 0.000 0.544 0.519
Ir1 Ir 0.500 0.899 0.818
# * relative energy among the computed polymorphs: 28 meV/atom
# * D(E_F): 0.90 states/eV/atom

no.,DFT formation energy (eV per atom),density (g/cm³),final energy (eV per atom)
1,1.5908,14.632,-7.33
2,0.1907,10.931,-7.55
3,1.2446,15.674,-6.78
4,0.6735,13.139,-8.25